Record 1
# PBE-GGA AcAg2AuS4, relaxed
data_AcAg2AuS4
_chemical_formula_sum 'Ac1 Ag2 Au1 S4'
_symmetry_space_group_name_H-M 'P 1'
_symmetry_Int_Tables_number 1
_symmetry_space_group_name_Hall 'P 1'
_cell_length_a 6.163
_cell_length_b 6.163
_cell_length_c 6.163
_cell_angle_alpha 111.22
_cell_angle_beta 111.22
_cell_angle_gamma 106.03
loop_
_atom_site_label
_atom_site_type_symbol
_atom_site_fract_x
_atom_site_fract_y
_atom_site_fract_z
Ac1 Ac 0.000 0.000 0.000
Ag1 Ag 0.250 0.750 0.500
Ag2 Ag 0.750 0.250 0.500
Au1 Au 0.500 0.500 0.000
S1 S 0.091 0.508 0.000
S2 S 0.492 0.492 0.584
S3 S 0.508 0.091 0.000
S4 S 0.909 0.909 0.416
# * space group: I-42m, No. 121
# * density: 7.10 g/cm3
# * ΔE_f (raw): -0.584 eV/atom
# * crystal system: tetragonal
# * VASP energy: -4.284 eV/atom

Record 2
# PBE-GGA CaNbCoAg2, relaxed
data_CaNbCoAg2
_chemical_formula_sum 'Ca1 Nb1 Co1 Ag2'
_symmetry_space_group_name_H-M 'P 1'
_symmetry_Int_Tables_number 1
_symmetry_space_group_name_Hall 'P 1'
_cell_length_a 4.993
_cell_length_b 4.993
_cell_length_c 4.382
_cell_angle_alpha 90.00
_cell_angle_beta 90.00
_cell_angle_gamma 90.00
loop_
_atom_site_label
_atom_site_type_symbol
_atom_site_fract_x
_atom_site_fract_y
_atom_site_fract_z
Ca1 Ca 0.000 0.000 0.000
Nb1 Nb 0.500 0.500 0.000
Co1 Co 0.500 0.500 0.500
Ag1 Ag 0.000 0.500 0.500
Ag2 Ag 0.500 0.000 0.500
# * space group: P4/mmm, No. 123
# * energy of formation from the pure elements: 2.057 eV/f.u.
# * density: 6.20 g/cm3
# * crystal system: tetragonal
# * VASP energy: -4.565 eV/atom

Record 3
# PBE-GGA KHfHg2, relaxed
data_KHfHg2
_chemical_formula_sum 'K1 Hf1 Hg2'
_symmetry_space_group_name_H-M 'P 1'
_symmetry_Int_Tables_number 1
_symmetry_space_group_name_Hall 'P 1'
_cell_length_a 5.249
_cell_length_b 5.249
_cell_length_c 5.249
_cell_angle_alpha 60.00
_cell_angle_beta 60.00
_cell_angle_gamma 60.00
loop_
_atom_site_label
_atom_site_type_symbol
_atom_site_fract_x
_atom_site_fract_y
_atom_site_fract_z
K1 K 0.000 0.000 0.000
Hf1 Hf 0.500 0.500 0.500
Hg1 Hg 0.250 0.250 0.250
Hg2 Hg 0.750 0.750 0.750
# * space group: Fm-3m, No. 225
# * energy of formation from the pure elements: 1.340 eV/f.u.
# * density: 10.05 g/cm3
# * crystal system: cubic
# * VASP energy: -2.579 eV/atom

Record 4
# PBE-GGA NiAsBr, relaxed
data_NiAsBr
_chemical_formula_sum 'Ni1 As1 Br1'
_symmetry_space_group_name_H-M 'P 1'
_symmetry_Int_Tables_number 1
_symmetry_space_group_name_Hall 'P 1'
_cell_length_a 3.463
_cell_length_b 3.463
_cell_length_c 6.807
_cell_angle_alpha 90.00
_cell_angle_beta 90.00
_cell_angle_gamma 120.00
loop_
_atom_site_label
_atom_site_type_symbol
_atom_site_fract_x
_atom_site_fract_y
_atom_site_fract_z
Ni1 Ni 0.000 0.000 0.000
As1 As 0.333 0.667 0.194
Br1 Br 0.667 0.333 0.779
# * space group: P3m1, No. 156
# * density: 5.02 g/cm3
# * ΔE_f (raw): -0.127 eV/atom
# * crystal system: trigonal
# * VASP energy: -4.162 eV/atom

Record 5
# PBE-GGA Pr2ErN, relaxed
data_Pr2ErN
_chemical_formula_sum 'Pr2 Er1 N1'
_symmetry_space_group_name_H-M 'P 1'
_symmetry_Int_Tables_number 1
_symmetry_space_group_name_Hall 'P 1'
_cell_length_a 9.947
_cell_length_b 9.947
_cell_length_c 9.947
_cell_angle_alpha 20.85
_cell_angle_beta 20.85
_cell_angle_gamma 20.85
loop_
_atom_site_label
_atom_site_type_symbol
_atom_site_fract_x
_atom_site_fract_y
_atom_site_fract_z
Pr1 Pr 0.119 0.119 0.119
Pr2 Pr 0.881 0.881 0.881
Er1 Er 0.000 0.000 0.000
N1 N 0.500 0.500 0.500
# * space group: R-3m, No. 166
# * density: 7.05 g/cm3
# * ΔE_f (raw): -0.492 eV/atom
# * crystal system: trigonal
# * VASP energy: -6.103 eV/atom

VASP energy of number 3 (KHfHg2)? -2.579 eV/atom

What did the fifth record say?
# PBE-GGA Pr2ErN, relaxed
data_Pr2ErN
_chemical_formula_sum 'Pr2 Er1 N1'
_symmetry_space_group_name_H-M 'P 1'
_symmetry_Int_Tables_number 1
_symmetry_space_group_name_Hall 'P 1'
_cell_length_a 9.947
_cell_length_b 9.947
_cell_length_c 9.947
_cell_angle_alpha 20.85
_cell_angle_beta 20.85
_cell_angle_gamma 20.85
loop_
_atom_site_label
_atom_site_type_symbol
_atom_site_fract_x
_atom_site_fract_y
_atom_site_fract_z
Pr1 Pr 0.119 0.119 0.119
Pr2 Pr 0.881 0.881 0.881
Er1 Er 0.000 0.000 0.000
N1 N 0.500 0.500 0.500
# * space group: R-3m, No. 166
# * density: 7.05 g/cm3
# * ΔE_f (raw): -0.492 eV/atom
# * crystal system: trigonal
# * VASP energy: -6.103 eV/atom

What is the density in the first record? 7.10 g/cm3

Which of these has the lowest VASP energy? Pr2ErN